DFT (PBE-GGA) results for a relaxed structure of Sr2LiGe4Au3.

The energy of formation from the pure elements comes out at -502.6 meV per atom. The value obtained for the total moment is 0.00 μB/cell.

```
data_Sr2LiGe4Au3
_symmetry_space_group_name_H-M 'P -4 m 2'
_symmetry_Int_Tables_number 115
_cell_length_a 4.473
_cell_length_b 4.473
_cell_length_c 10.969
_cell_angle_alpha 90.00
_cell_angle_beta 90.00
_cell_angle_gamma 90.00
loop_
_symmetry_equiv_pos_as_xyz
'x,y,z'
'y,-x,-z'
'-x,-y,z'
'-y,x,-z'
'-x,y,z'
'-y,-x,-z'
'x,-y,z'
'y,x,-z'
loop_
_atom_site_label
_atom_site_type_symbol
_atom_site_fract_x
_atom_site_fract_y
_atom_site_fract_z
_atom_site_occupancy
Sr1 Sr 0.000 0.500 0.244 1
Li1 Li 0.500 0.500 0.000 1
Ge1 Ge 0.000 0.000 0.500 1
Ge2 Ge 0.000 0.500 0.869 1
Ge3 Ge 0.500 0.500 0.500 1
Au1 Au 0.000 0.000 0.000 1
Au2 Au 0.000 0.500 0.635 1
```